First-principles (PBE) data for an optimized crystal structure of Sc2CdGa, as listed in the Alexandria database. Values from VASP.

- ΔE_f: -456 meV per atom
- Magnetization: 0.00 μB/f.u.
- DOS at the Fermi energy: 0.681 states/eV per atom

Geometry as Quantum ESPRESSO input:
```
&SYSTEM
  ibrav = 0, nat = 4, ntyp = 3
/
ATOMIC_SPECIES
Sc 44.96 Sc.upf
Cd 112.41 Cd.upf
Ga 69.72 Ga.upf
CELL_PARAMETERS angstrom
3.412 0.000 0.000
0.000 3.412 0.000
0.000 0.000 7.034
ATOMIC_POSITIONS angstrom
Sc 0.000 0.000 1.641
Sc 0.000 0.000 5.393
Cd 1.706 1.706 3.517
Ga 1.706 1.706 0.000
```

***

First-principles (PBE) data for an optimized crystal structure of CaLa3Nd6, as listed in the Alexandria database. Values from VASP.

- ΔE_f: 213 meV per atom
- Magnetization: 0.00 μB/f.u.
- DOS at the Fermi energy: 1.577 states/eV per atom

Geometry as Quantum ESPRESSO input:
```
&SYSTEM
  ibrav = 0, nat = 10, ntyp = 3
/
ATOMIC_SPECIES
Ca 40.08 Ca.upf
La 138.91 La.upf
Nd 144.24 Nd.upf
CELL_PARAMETERS angstrom
5.756 -3.495 0.000
5.756 3.495 0.000
-4.184 0.000 9.122
ATOMIC_POSITIONS angstrom
Ca 0.000 0.000 0.000
La -1.503 0.000 6.495
La 3.663 0.000 4.561
La 8.830 0.000 2.627
Nd 1.031 1.811 6.181
Nd 3.898 0.000 0.834
Nd 6.296 1.811 2.941
Nd 1.031 -1.811 6.181
Nd 3.428 0.000 8.288
Nd 6.296 -1.811 2.941
```

***

Question: magnetization of number 2 (CaLa3Nd6)?
Answer: 0.00 μB/f.u.

***

Question: Among the records above, which one has the highest ΔE_f?
Answer: CaLa3Nd6